# 1
A plane-wave DFT calculation with GGA-PBE was carried out for a relaxed LaNd3Au4 crystal.

```
LaNd3Au4
1.0
-0.604 -5.580 -1.755
3.580 -1.319 2.963
-4.964 -1.129 5.495
Au La Nd
4 1 3
direct
0.149 0.500 0.040
0.651 0.000 0.465
0.348 0.500 0.543
0.852 0.000 0.954
0.643 0.500 0.185
0.142 0.000 0.317
0.858 0.500 0.683
0.356 0.000 0.814
```

Calculated values
The calculation puts the final energy at -4.85 eV/atom. Its symmetry is No. 6. The formation energy is -0.82 eV/atom. Its crystal system is monoclinic.

***

# 2
A plane-wave DFT calculation with GGA-PBE was carried out for a relaxed Na2AsPt2 crystal.

```
Na2AsPt2
1.0
4.682 -2.926 0.000
4.682 2.926 0.000
-1.367 0.000 7.529
As Na Pt
2 4 4
direct
0.096 0.904 0.250
0.904 0.096 0.750
0.767 0.529 0.152
0.471 0.233 0.348
0.529 0.767 0.652
0.233 0.471 0.848
0.737 0.005 0.002
0.995 0.263 0.498
0.005 0.737 0.502
0.263 0.995 0.998
```

Calculated values
The calculation puts the final energy at -4.36 eV/atom. Its symmetry is No. 15. Its crystal system is monoclinic.

***

# 3
A plane-wave DFT calculation with GGA-PBE was carried out for a relaxed TbTe2PbAuS crystal.

```
TbTe2PbAuS
1.0
0.829 4.841 -5.921
-4.002 -1.966 6.270
6.125 6.055 5.808
Au Pb S Tb Te
2 2 2 2 4
direct
0.519 0.481 0.250
0.481 0.519 0.750
0.265 0.735 0.250
0.735 0.265 0.750
0.923 0.077 0.250
0.077 0.923 0.750
0.000 0.000 0.000
0.000 0.000 0.500
0.650 0.350 0.056
0.650 0.350 0.444
0.350 0.650 0.556
0.350 0.650 0.944
```

Calculated values
The calculation puts the final energy at -4.45 eV/atom. Its symmetry is No. 63. Its crystal system is orthorhombic.